No. 1
An optimized crystal structure of KMg2Be. Source: Alexandria, functional GGA-PBE.

a b c (Å): 5.2091 5.2091 7.4660
angles (deg): 90.00 90.00 90.00
Space group I-4m2 (No. 119)
Symmetry-distinct sites (fractional):
K1 0.0000 0.0000 0.0000
Mg1 0.0000 0.0000 0.5000
Mg2 0.0000 0.5000 0.7500
Be1 0.0000 0.5000 0.2500

- E_form (eV per formula unit) = 2.6

No. 2
An optimized crystal structure of Zr3AsSe3. Source: Alexandria, functional GGA-PBE.

a b c (Å): 10.8583 10.8583 10.8583
angles (deg): 90.00 90.00 90.00
Space group I4_132 (No. 214)
Symmetry-distinct sites (fractional):
Zr1 0.1195 0.3695 0.1250
As1 0.1250 0.1250 0.1250
Se1 0.1202 0.1298 0.6250

- E_form (uncorrected) (eV per formula unit) = -9.0

No. 3
An optimized crystal structure of CrIr2. Source: Alexandria, functional GGA-PBE.

a b c (Å): 4.2862 4.2862 2.6744
angles (deg): 90.00 90.00 120.00
Space group P6/mmm (No. 191)
Symmetry-distinct sites (fractional):
Cr1 0.0000 0.0000 0.0000
Ir1 0.3333 0.6667 0.5000

- E_form (eV per formula unit) = 0.4

Question: Number 2 is which compound?
Answer: Zr3AsSe3